VASP calculation (PBE) on CrRh2Se after structural relaxation.

a b c (Å): 8.520 8.520 8.520
angles (deg): 19.17 19.17 19.17
Each line ends with the local moment (μB).
Positions (direct):
Rh (0.497, 0.497, 0.497)  -0.02
Rh (0.003, 0.003, 0.003)  -0.02
Se (0.250, 0.250, 0.250)  0.01
Cr (0.750, 0.750, 0.750)  1.39

## Properties
Size of the total moment, μB/f.u.: 1.5
SG: R-3m, No. 166
Total energy, eV/cell: -27.2

VASP calculation (PBE) on LaZrRh2 after structural relaxation.

a b c (Å): 6.017 6.017 6.017
angles (deg): 143.23 139.91 55.52
Positions (direct):
La (0.256, 0.756, 0.500)
Rh (0.011, 0.011, 0.000)
Rh (0.725, 0.225, 0.500)
Zr (0.507, 0.507, 0.000)

## Properties
Size of the total moment, μB/f.u.: 0.0
SG: Imm2, No. 44
ΔE_f, eV per atom: -0.434
Total energy, eV/cell: -29.9

VASP calculation (PBE) on AlZn2Br after structural relaxation.

a b c (Å): 5.919 5.919 5.919
angles (deg): 139.92 139.92 57.97
Positions (direct):
Al (0.500, 0.500, 0.000)
Br (0.750, 0.250, 0.500)
Zn (0.250, 0.750, 0.500)
Zn (0.000, 0.000, 0.000)

## Properties
Size of the total moment, μB/f.u.: 0.0
SG: I-4m2, No. 119
Polymorph energy (0 for the lowest one), eV/f.u.: 1.617
Total energy, eV/cell: -7.1

VASP calculation (PBE) on MgRhAu2 after structural relaxation.

a b c (Å): 9.232 9.232 9.232
angles (deg): 18.30 18.30 18.30
Each line ends with the local moment (μB).
Positions (direct):
Rh (0.750, 0.750, 0.750)  0.59
Mg (0.250, 0.250, 0.250)  0.00
Au (0.999, 0.999, 0.999)  0.00
Au (0.501, 0.501, 0.501)  0.00

## Properties
Size of the total moment, μB/f.u.: 0.6
SG: R-3m, No. 166
ΔE_f, eV per atom: -0.057
Total energy, eV/cell: -15.7

VASP calculation (PBE) on KNaBi2Pd after structural relaxation.

a b c (Å): 7.117 6.407 7.129
angles (deg): 90.00 90.00 90.00
Positions (direct):
Bi (0.765, 0.250, 0.785)
Bi (0.765, 0.250, 0.215)
Bi (0.235, 0.750, 0.785)
Bi (0.235, 0.750, 0.215)
Na (0.652, 0.750, 0.000)
Na (0.348, 0.250, 0.000)
K (0.778, 0.750, 0.500)
K (0.222, 0.250, 0.500)
Pd (0.000, 0.000, 0.000)
Pd (0.000, 0.500, 0.000)

## Properties
Size of the total moment, μB/f.u.: 0.0
SG: Pmma, No. 51
ΔE_f, eV per atom: -0.353
Polymorph energy (0 for the lowest one), eV/f.u.: 0.000
Total energy, eV/cell: -34.3

VASP calculation (PBE) on YPa2Sb3 after structural relaxation.

a b c (Å): 6.185 8.755 13.111
angles (deg): 90.00 90.00 90.00
Each line ends with the local moment (μB).
Positions (direct):
Sb (0.750, 0.873, 0.417)  -0.02
Sb (0.751, 0.874, 0.750)  -0.02
Sb (0.250, 0.126, 0.917)  -0.01
Sb (0.750, 0.374, 0.417)  -0.01
Sb (0.751, 0.374, 0.750)  -0.02
Sb (0.750, 0.373, 0.083)  -0.02
Sb (0.249, 0.626, 0.250)  -0.02
Sb (0.250, 0.626, 0.583)  -0.01
Sb (0.250, 0.127, 0.583)  -0.02
Sb (0.750, 0.874, 0.083)  -0.01
Sb (0.250, 0.627, 0.917)  -0.02
Sb (0.249, 0.126, 0.250)  -0.02
Y (0.750, 0.124, 0.917)  0.00
Y (0.250, 0.876, 0.083)  0.00
Y (0.750, 0.624, 0.583)  0.00
Y (0.250, 0.376, 0.417)  0.00
Pa (0.749, 0.124, 0.250)  0.66
Pa (0.750, 0.124, 0.583)  0.66
Pa (0.750, 0.624, 0.917)  0.66
Pa (0.251, 0.876, 0.750)  0.66
Pa (0.251, 0.376, 0.750)  0.66
Pa (0.749, 0.624, 0.250)  0.66
Pa (0.250, 0.376, 0.083)  0.66
Pa (0.250, 0.876, 0.417)  0.66

## Properties
Size of the total moment, μB/f.u.: 1.5
SG: P2_1/c, No. 14
Total energy, eV/cell: -167.4